[1]
A geometry-optimized Hf2TaTlSb structure, computed with PBE.

Summary:
Its energy relative to the elements, uncorrected is 1.56 eV/atom. Its density of states at the Fermi level is 0.929 states/eV per atom. As for the size of the total moment: 0.00 μB per cell.

Unit cell a=5.215 b=5.215 c=5.324 alpha=90.00 beta=90.00 gamma=90.00
Element x y z (fractional)
Hf  0.000  0.500  0.000
Hf  0.500  0.000  0.000
Ta  0.000  0.000  0.500
Tl  0.500  0.500  0.500
Sb  0.500  0.500  0.000

---

[2]
A geometry-optimized Al2GaRe structure, computed with PBE.

Summary:
Its density of states at the Fermi level is 0.255 states/eV per atom. The energy relative to the elements is -20 kJ/mol of atoms. As for the size of the total moment: 0.00 μB per cell.

Unit cell a=3.346 b=3.346 c=5.366 alpha=90.00 beta=90.00 gamma=90.00
Element x y z (fractional)
Al  0.000  0.000  0.238
Al  0.000  0.000  0.762
Ga  0.500  0.500  0.500
Re  0.500  0.500  0.000

---

[3]
A geometry-optimized ThScTi structure, computed with PBE.

Summary:
Its density of states at the Fermi level is 1.224 states/eV per atom. The energy relative to the elements is 17 kJ/mol of atoms. As for the size of the total moment: 0.00 μB per cell. The excess energy over the best structure of this formula in the dataset comes out at 0.000 eV per atom.

Unit cell a=5.077 b=5.077 c=3.239 alpha=90.00 beta=90.00 gamma=120.00
Element x y z (fractional)
Th  0.000  0.000  0.000
Sc  0.667  0.333  0.500
Ti  0.333  0.667  0.000

---

[4]
A geometry-optimized LiBePt4 structure, computed with PBE.

Summary:
Its density of states at the Fermi level is 0.767 states/eV per atom. The energy relative to the elements is -2 kJ/mol of atoms. As for the size of the total moment: 0.00 μB per cell.

Unit cell a=5.225 b=5.225 c=5.225 alpha=60.00 beta=60.00 gamma=60.00
Element x y z (fractional)
Li  0.000  0.000  0.000
Be  0.750  0.750  0.750
Pt  0.375  0.375  0.375
Pt  0.375  0.375  0.875
Pt  0.375  0.875  0.375
Pt  0.875  0.375  0.375

---

[5]
A geometry-optimized TbEuSbAu structure, computed with PBE.

Summary:
Its energy relative to the elements, uncorrected is -0.82 eV/atom. Its density of states at the Fermi level is 0.871 states/eV per atom. As for the size of the total moment: 7.84 μB per cell.

Unit cell a=5.322 b=5.322 c=5.322 alpha=60.00 beta=60.00 gamma=60.00
Element x y z (fractional)
Tb  0.000  0.000  0.000
Eu  0.500  0.500  0.500
Sb  0.250  0.250  0.250
Au  0.750  0.750  0.750

---

[6]
A geometry-optimized Ac2Ag3Sn4Rh structure, computed with PBE.

Summary:
Its density of states at the Fermi level is 0.459 states/eV per atom. The energy relative to the elements is -45 kJ/mol of atoms. As for the size of the total moment: 0.00 μB per cell.

Unit cell a=4.734 b=4.734 c=11.320 alpha=90.00 beta=90.00 gamma=90.00
Element x y z (fractional)
Ac  0.000  0.500  0.233
Ac  0.500  0.000  0.767
Ag  0.000  0.000  0.000
Ag  0.000  0.500  0.641
Ag  0.500  0.000  0.359
Sn  0.000  0.000  0.500
Sn  0.000  0.500  0.881
Sn  0.500  0.000  0.119
Sn  0.500  0.500  0.500
Rh  0.500  0.500  0.000

---

[7]
A geometry-optimized Nd2Ga8Pd structure, computed with PBE.

Summary:
Its density of states at the Fermi level is 0.490 states/eV per atom. The energy relative to the elements is -50 kJ/mol of atoms. As for the size of the total moment: 0.00 μB per cell.

Unit cell a=4.401 b=4.401 c=11.398 alpha=90.00 beta=90.00 gamma=90.00
Element x y z (fractional)
Nd  0.000  0.000  0.192
Nd  0.000  0.000  0.808
Ga  0.000  0.500  0.000
Ga  0.000  0.500  0.378
Ga  0.000  0.500  0.622
Ga  0.500  0.000  0.000
Ga  0.500  0.000  0.378
Ga  0.500  0.000  0.622
Ga  0.500  0.500  0.191
Ga  0.500  0.500  0.809
Pd  0.000  0.000  0.500

---

[8]
A geometry-optimized Dy2BeAl2Ni5 structure, computed with PBE.

Summary:
Its density of states at the Fermi level is 0.776 states/eV per atom. The energy relative to the elements is -28 kJ/mol of atoms. As for the size of the total moment: 0.00 μB per cell.

Unit cell a=10.022 b=10.022 c=2.881 alpha=90.00 beta=90.00 gamma=90.00
Element x y z (fractional)
Dy  0.171  0.329  0.000
Dy  0.329  0.829  0.000
Dy  0.671  0.171  0.000
Dy  0.829  0.671  0.000
Be  0.000  0.000  0.000
Be  0.500  0.500  0.000
Al  0.133  0.633  0.000
Al  0.367  0.133  0.000
Al  0.633  0.867  0.000
Al  0.867  0.367  0.000
Ni  0.000  0.500  0.500
Ni  0.052  0.820  0.500
Ni  0.180  0.052  0.500
Ni  0.320  0.552  0.500
Ni  0.448  0.320  0.500
Ni  0.500  0.000  0.500
Ni  0.552  0.680  0.500
Ni  0.680  0.448  0.500
Ni  0.820  0.948  0.500
Ni  0.948  0.180  0.500

---

[9]
A geometry-optimized LaIn structure, computed with PBE.

Summary:
Its density of states at the Fermi level is 0.861 states/eV per atom. The energy relative to the elements is -33 kJ/mol of atoms. As for the size of the total moment: 0.00 μB per cell.

Unit cell a=6.786 b=8.360 c=8.930 alpha=90.00 beta=90.00 gamma=90.00
Element x y z (fractional)
La  0.069  0.184  0.026
La  0.169  0.571  0.826
La  0.331  0.429  0.326
La  0.431  0.816  0.526
La  0.569  0.316  0.974
La  0.669  0.929  0.174
La  0.831  0.071  0.674
La  0.931  0.684  0.474
In  0.124  0.064  0.373
In  0.210  0.791  0.166
In  0.290  0.209  0.666
In  0.376  0.936  0.873
In  0.624  0.436  0.627
In  0.710  0.709  0.834
In  0.790  0.291  0.334
In  0.876  0.564  0.127

---

[10]
A geometry-optimized PmY8Th2 structure, computed with PBE.

Summary:
Its density of states at the Fermi level is 1.561 states/eV per atom. The energy relative to the elements is 18 kJ/mol of atoms. As for the size of the total moment: 0.00 μB per cell. The excess energy over the best structure of this formula in the dataset comes out at 0.003 eV per atom.

Unit cell a=10.189 b=10.189 c=5.617 alpha=92.16 beta=92.16 gamma=40.61
Element x y z (fractional)
Pm  0.000  0.000  0.000
Y  0.137  0.599  0.264
Y  0.184  0.184  0.232
Y  0.401  0.863  0.736
Y  0.452  0.452  0.763
Y  0.548  0.548  0.237
Y  0.599  0.137  0.264
Y  0.816  0.816  0.768
Y  0.863  0.401  0.736
Th  0.283  0.283  0.739
Th  0.717  0.717  0.261

---

[11]
A geometry-optimized CsGa2Sn2 structure, computed with PBE.

Summary:
Its density of states at the Fermi level is 0.552 states/eV per atom. The energy relative to the elements is 0 kJ/mol of atoms. As for the size of the total moment: 0.00 μB per cell. The excess energy over the best structure of this formula in the dataset comes out at 0.160 eV per atom.

Unit cell a=3.948 b=3.948 c=10.059 alpha=90.00 beta=90.00 gamma=90.00
Element x y z (fractional)
Cs  0.000  0.000  0.000
Ga  0.000  0.500  0.500
Ga  0.500  0.000  0.500
Sn  0.500  0.500  0.287
Sn  0.500  0.500  0.713

---

[12]
A geometry-optimized Pm3Cu2Ni structure, computed with PBE.

Summary:
Its density of states at the Fermi level is 0.955 states/eV per atom. The energy relative to the elements is -21 kJ/mol of atoms. As for the size of the total moment: 0.00 μB per cell. The excess energy over the best structure of this formula in the dataset comes out at 0.000 eV per atom.

Unit cell a=11.669 b=4.320 c=10.995 alpha=90.00 beta=90.00 gamma=90.00
Element x y z (fractional)
Pm  0.052  0.250  0.125
Pm  0.113  0.750  0.560
Pm  0.225  0.250  0.797
Pm  0.275  0.750  0.297
Pm  0.387  0.250  0.060
Pm  0.448  0.750  0.625
Pm  0.552  0.250  0.375
Pm  0.613  0.750  0.940
Pm  0.725  0.250  0.703
Pm  0.775  0.750  0.203
Pm  0.887  0.250  0.440
Pm  0.948  0.750  0.875
Cu  0.020  0.750  0.310
Cu  0.202  0.750  0.001
Cu  0.298  0.250  0.501
Cu  0.480  0.250  0.810
Cu  0.520  0.750  0.190
Cu  0.702  0.750  0.499
Cu  0.798  0.250  0.999
Cu  0.980  0.250  0.690
Ni  0.123  0.250  0.371
Ni  0.377  0.750  0.871
Ni  0.623  0.250  0.129
Ni  0.877  0.750  0.629